Arrangement one

! PBE-GGA ZrHgPO, optimized geometry; values from VASP
! * M_tot: 0.00 μB per formula unit
! * crystal system: orthorhombic
&SYSTEM
  ibrav = 0, nat = 8, ntyp = 4
/
ATOMIC_SPECIES
Hg 200.59 Hg.upf
O 16.00 O.upf
P 30.97 P.upf
Zr 91.22 Zr.upf
ATOMIC_POSITIONS angstrom
Hg -2.724 -3.626 1.323
Hg -1.059 -4.552 3.627
O -0.350 -1.986 1.676
O -3.485 -6.066 3.106
P -4.983 -3.100 2.259
P -0.939 -2.462 4.997
Zr -1.505 -0.817 2.896
Zr -4.415 -4.750 4.367
CELL_PARAMETERS angstrom
-2.080 2.473 2.496
-5.634 -3.703 -1.027
1.314 -3.176 4.242



Arrangement two

! PBE-GGA ZrHgPO, optimized geometry; values from VASP
! * M_tot: 0.47 μB per formula unit
! * crystal system: tetragonal
&SYSTEM
  ibrav = 0, nat = 8, ntyp = 4
/
ATOMIC_SPECIES
Hg 200.59 Hg.upf
O 16.00 O.upf
P 30.97 P.upf
Zr 91.22 Zr.upf
ATOMIC_POSITIONS angstrom
Hg 2.641 -1.320 5.052
Hg 2.641 1.320 5.052
O 2.641 -1.320 0.000
O 2.641 1.320 0.000
P 3.961 0.000 2.443
P 1.320 0.000 7.661
Zr 1.320 0.000 1.219
Zr 3.961 0.000 8.885
CELL_PARAMETERS angstrom
2.641 -2.641 0.000
2.641 2.641 0.000
0.000 0.000 10.104



Preferred: arrangement two; penalty for the next structure: 4.1 kJ/mol of atoms.



Arrangement one

! PBE-GGA Pa2Hg2O5, optimized geometry; values from VASP
! * M_tot: 0.00 μB per formula unit
! * crystal system: tetragonal
&SYSTEM
  ibrav = 0, nat = 9, ntyp = 3
/
ATOMIC_SPECIES
Hg 200.59 Hg.upf
O 16.00 O.upf
Pa 231.04 Pa.upf
ATOMIC_POSITIONS angstrom
Hg 0.000 0.000 0.000
Hg 4.943 0.000 0.000
O 2.428 2.124 0.000
O 7.458 2.124 0.000
O 2.428 0.000 2.124
O 7.458 0.000 2.124
O 4.943 2.124 2.124
Pa 2.795 2.124 2.124
Pa 7.091 2.124 2.124
CELL_PARAMETERS angstrom
9.886 0.000 0.000
0.000 4.248 0.000
0.000 0.000 4.248



Arrangement two

! PBE-GGA Pa2Hg2O5, optimized geometry; values from VASP
! * M_tot: 2.00 μB per formula unit
! * crystal system: tetragonal
&SYSTEM
  ibrav = 0, nat = 9, ntyp = 3
/
ATOMIC_SPECIES
Hg 200.59 Hg.upf
O 16.00 O.upf
Pa 231.04 Pa.upf
ATOMIC_POSITIONS angstrom
Hg 1.276 2.089 2.089
Hg 6.074 2.089 2.089
O 2.028 2.089 0.000
O 5.322 2.089 0.000
O 2.028 0.000 2.089
O 5.322 0.000 2.089
O 3.675 2.089 2.089
Pa 0.000 0.000 0.000
Pa 3.675 0.000 0.000
CELL_PARAMETERS angstrom
7.350 0.000 0.000
0.000 4.179 0.000
0.000 0.000 4.179



Preferred: arrangement one; penalty for the next structure: 116.7 kJ/mol of atoms.



Arrangement one

! PBE-GGA HgTePbO, optimized geometry; values from VASP
! * crystal system: orthorhombic
&SYSTEM
  ibrav = 0, nat = 16, ntyp = 4
/
ATOMIC_SPECIES
Hg 200.59 Hg.upf
O 16.00 O.upf
Pb 207.20 Pb.upf
Te 127.60 Te.upf
ATOMIC_POSITIONS angstrom
Hg 2.935 0.898 0.177
Hg 6.200 9.394 0.177
Hg 0.331 0.898 3.424
Hg 3.596 9.394 3.424
O 0.451 0.987 0.780
O 3.716 9.306 0.780
O 2.814 0.987 4.027
O 6.080 9.306 4.027
Pb 6.505 3.151 0.365
Pb 3.240 7.142 0.365
Pb 3.291 3.151 3.612
Pb 0.026 7.142 3.612
Te 3.233 3.596 0.302
Te 6.498 6.697 0.302
Te 0.033 3.596 3.549
Te 3.298 6.697 3.549
CELL_PARAMETERS angstrom
6.531 0.000 0.000
0.000 10.293 0.000
0.000 0.000 6.494



Arrangement two

! PBE-GGA HgTePbO, optimized geometry; values from VASP
! * crystal system: hexagonal
&SYSTEM
  ibrav = 0, nat = 8, ntyp = 4
/
ATOMIC_SPECIES
Hg 200.59 Hg.upf
O 16.00 O.upf
Pb 207.20 Pb.upf
Te 127.60 Te.upf
ATOMIC_POSITIONS angstrom
Hg -3.988 -1.721 1.001
Hg -7.653 -3.659 7.231
O -2.582 -2.287 2.937
O -8.844 -7.331 4.467
Pb -3.903 -3.455 4.437
Pb -11.220 -5.010 7.757
Te -2.419 0.974 1.279
Te -6.858 -4.262 4.263
CELL_PARAMETERS angstrom
-1.058 3.490 1.787
-2.212 -1.457 -3.079
-8.100 -7.175 9.217



Preferred: arrangement one; penalty for the next structure: 22.6 kJ/mol of atoms.



Arrangement one

! PBE-GGA HgTePbO, optimized geometry; values from VASP
! * crystal system: orthorhombic
&SYSTEM
  ibrav = 0, nat = 8, ntyp = 4
/
ATOMIC_SPECIES
Hg 200.59 Hg.upf
O 16.00 O.upf
Pb 207.20 Pb.upf
Te 127.60 Te.upf
ATOMIC_POSITIONS angstrom
Hg -4.099 -0.466 -3.849
Hg -2.411 4.976 -4.762
O 0.000 0.000 0.000
O -2.804 -1.362 -1.166
Pb -0.625 1.323 -4.793
Pb -5.885 3.187 -3.818
Te -4.245 1.631 -5.945
Te -2.265 2.879 -2.666
CELL_PARAMETERS angstrom
1.404 0.723 -4.221
-5.609 -2.723 -2.332
-2.305 6.511 -2.058



Arrangement two

! PBE-GGA HgTePbO, optimized geometry; values from VASP
! * crystal system: orthorhombic
&SYSTEM
  ibrav = 0, nat = 8, ntyp = 4
/
ATOMIC_SPECIES
Hg 200.59 Hg.upf
O 16.00 O.upf
Pb 207.20 Pb.upf
Te 127.60 Te.upf
ATOMIC_POSITIONS angstrom
Hg -3.990 -1.791 -1.621
Hg -1.995 -5.492 -4.863
O 0.000 0.000 0.000
O 0.000 0.000 -3.242
Pb -1.995 -0.893 -4.863
Pb -3.990 -6.391 -1.621
Te -3.990 -3.535 -4.863
Te -1.995 -3.748 -1.621
CELL_PARAMETERS angstrom
-3.990 0.000 0.000
0.000 0.000 -6.484
-1.995 -7.283 0.000



Preferred: arrangement two; penalty for the next structure: 2.9 kJ/mol of atoms.



Arrangement one

! PBE-GGA HgPdSO, optimized geometry; values from VASP
! * crystal system: monoclinic
&SYSTEM
  ibrav = 0, nat = 16, ntyp = 4
/
ATOMIC_SPECIES
Hg 200.59 Hg.upf
O 16.00 O.upf
Pd 106.42 Pd.upf
S 32.06 S.upf
ATOMIC_POSITIONS angstrom
Hg 2.263 4.772 0.505
Hg 5.522 2.676 0.506
Hg 4.185 2.699 3.413
Hg 0.926 4.795 3.414
O 3.444 6.696 0.770
O 0.191 0.781 0.771
O 3.004 0.775 3.678
O 6.257 6.690 3.678
Pd 4.805 6.613 2.253
Pd 1.562 0.858 2.258
Pd 1.643 0.858 5.160
Pd 4.886 6.613 5.166
S 2.927 2.328 0.828
S 6.180 5.110 0.833
S 3.521 5.143 3.735
S 0.268 2.361 3.740
CELL_PARAMETERS angstrom
6.495 -0.039 0.000
-0.047 7.510 0.000
0.000 0.000 5.815



Arrangement two

! PBE-GGA HgPdSO, optimized geometry; values from VASP
! * crystal system: hexagonal
&SYSTEM
  ibrav = 0, nat = 8, ntyp = 4
/
ATOMIC_SPECIES
Hg 200.59 Hg.upf
O 16.00 O.upf
Pd 106.42 Pd.upf
S 32.06 S.upf
ATOMIC_POSITIONS angstrom
Hg 0.000 0.000 0.291
Hg 0.000 0.000 7.342
O 0.000 0.000 2.622
O 0.000 0.000 9.673
Pd 0.000 1.950 3.638
Pd 1.689 0.975 10.689
S 1.689 0.975 4.905
S 0.000 1.950 11.956
CELL_PARAMETERS angstrom
3.378 0.000 0.000
-1.689 2.925 0.000
0.000 0.000 14.102



Preferred: arrangement two; penalty for the next structure: 11.8 kJ/mol of atoms.



Arrangement one

! PBE-GGA HgPdSO, optimized geometry; values from VASP
! * crystal system: orthorhombic
&SYSTEM
  ibrav = 0, nat = 8, ntyp = 4
/
ATOMIC_SPECIES
Hg 200.59 Hg.upf
O 16.00 O.upf
Pd 106.42 Pd.upf
S 32.06 S.upf
ATOMIC_POSITIONS angstrom
Hg -1.654 -0.921 0.650
Hg -5.960 -0.722 -0.497
O -0.546 0.087 -1.267
O -1.638 0.260 -3.801
Pd -2.629 1.133 -1.806
Pd -4.984 -2.776 1.959
S -3.295 -1.054 -1.668
S -4.318 -0.589 1.821
CELL_PARAMETERS angstrom
-1.315 2.900 0.765
-2.184 0.346 -5.068
-5.207 -4.717 1.922



Arrangement two

! PBE-GGA HgPdSO, optimized geometry; values from VASP
! * crystal system: tetragonal
&SYSTEM
  ibrav = 0, nat = 8, ntyp = 4
/
ATOMIC_SPECIES
Hg 200.59 Hg.upf
O 16.00 O.upf
Pd 106.42 Pd.upf
S 32.06 S.upf
ATOMIC_POSITIONS angstrom
Hg -2.117 1.774 1.430
Hg -1.939 -0.873 2.270
O 1.856 1.331 3.803
O -0.043 1.831 5.782
Pd -1.566 1.244 4.256
Pd 3.379 1.917 5.329
S 0.829 0.935 2.773
S 0.984 2.227 6.813
CELL_PARAMETERS angstrom
-2.206 3.097 1.011
-1.850 -2.196 2.689
5.870 2.261 5.885



Preferred: arrangement two; penalty for the next structure: 13.0 kJ/mol of atoms.